The following is a DFT calculation (GGA-PBE) of Y5Ho3 after structural relaxation.

Geometry as CIF:
```
data_Y5Ho3
_chemical_formula_sum 'Y10 Ho6'
_symmetry_space_group_name_H-M 'A m m 2'
_symmetry_Int_Tables_number 38
_symmetry_space_group_name_Hall 'A 2 -2'
_cell_length_a 5.630
_cell_length_b 7.256
_cell_length_c 12.568
_cell_angle_alpha 90.00
_cell_angle_beta 90.00
_cell_angle_gamma 90.00
loop_
_atom_site_label
_atom_site_fract_x
_atom_site_fract_y
_atom_site_fract_z
Y1 0.000 0.000 0.000
Y2 0.000 0.250 0.249
Y3 0.500 0.249 0.416
Ho1 0.000 0.000 0.500
Ho2 0.500 0.000 0.166
Ho3 0.500 0.000 0.665
```

* formation energy from the elements: 0.003 eV/atom